(1)
16
Lattice="4.135 0.000 0.000 0.000 17.578 0.000 0.000 0.000 4.304" Properties=species:S:1:pos:R:3 comment="LaSi2Ir PBE-GGA optimized geometry" raw_formation_energy_ev_per_atom=-0.84 space_group="Cmmm (65)" pbc="T T T"
La 0.000 2.559 0.000
La 0.000 15.019 0.000
La 2.067 6.230 0.000
La 2.067 11.348 0.000
Si 0.000 0.000 2.152
Si 0.000 5.046 2.152
Si 0.000 8.789 0.000
Si 0.000 12.532 2.152
Si 2.067 0.000 0.000
Si 2.067 3.743 2.152
Si 2.067 8.789 2.152
Si 2.067 13.835 2.152
Ir 0.000 7.434 2.152
Ir 0.000 10.145 2.152
Ir 2.067 1.356 2.152
Ir 2.067 16.223 2.152

---

(2)
10
Lattice="5.561 0.000 0.000 -2.779 4.818 0.000 -0.003 -3.208 6.039" Properties=species:S:1:pos:R:3 comment="LaSi3Ir6 PBE-GGA optimized geometry" raw_formation_energy_ev_per_atom=-0.59 space_group="P1 (1)" pbc="T T T"
La 0.000 0.000 0.000
Si -0.002 -0.003 5.331
Si 2.781 -1.597 5.337
Si 2.783 1.605 3.055
Ir -1.390 2.439 1.153
Ir -0.323 1.607 3.547
Ir 1.552 -0.517 3.540
Ir 1.365 2.393 1.148
Ir 2.806 -0.016 1.143
Ir 4.337 -1.083 3.541

---

(3)
10
Lattice="4.142 0.000 0.000 0.000 4.142 0.000 0.000 0.000 10.346" Properties=species:S:1:pos:R:3 comment="LaSi2Ir2 PBE-GGA optimized geometry" raw_formation_energy_ev_per_atom=-1.05 space_group="I4/mmm (139)" pbc="T T T"
La 0.000 0.000 0.000
La 2.071 2.071 5.173
Si 0.000 0.000 3.860
Si 0.000 0.000 6.486
Si 2.071 2.071 1.313
Si 2.071 2.071 9.033
Ir 0.000 2.071 2.586
Ir 0.000 2.071 7.759
Ir 2.071 0.000 2.586
Ir 2.071 0.000 7.759

---

(4)
11
Lattice="4.257 -6.586 0.000 4.257 6.586 0.000 -2.587 0.000 6.178" Properties=species:S:1:pos:R:3 comment="La8SiIr2 PBE-GGA optimized geometry" raw_formation_energy_ev_per_atom=-0.39 space_group="Cm (8)" pbc="T T T"
La 0.000 0.000 0.000
La 2.437 2.651 1.141
La 3.825 4.794 3.501
La 2.735 1.778 4.987
La 2.437 -2.651 1.141
La 2.735 -1.778 4.987
La 4.956 0.000 2.456
La 3.825 -4.794 3.501
Si 1.911 0.000 2.553
Ir 1.134 4.130 4.333
Ir 1.134 -4.130 4.333

---

(5)
10
Lattice="4.221 0.000 0.000 0.000 4.221 0.000 0.000 0.000 9.993" Properties=species:S:1:pos:R:3 comment="LaSi2Ir2 PBE-GGA optimized geometry" raw_formation_energy_ev_per_atom=-1.04 space_group="P4/nmm (129)" pbc="T T T"
La 1.055 1.055 2.432
La 3.166 3.166 7.561
Si 1.055 1.055 6.278
Si 1.055 3.166 0.000
Si 3.166 1.055 0.000
Si 3.166 3.166 3.715
Ir 1.055 1.055 8.736
Ir 1.055 3.166 4.996
Ir 3.166 1.055 4.996
Ir 3.166 3.166 1.257

---

(6)
9
Lattice="4.201 0.000 0.000 0.000 4.201 0.000 0.000 0.000 9.142" Properties=species:S:1:pos:R:3 comment="La2Si2Ir5 PBE-GGA optimized geometry" raw_formation_energy_ev_per_atom=-0.71 space_group="P4/mmm (123)" pbc="T T T"
La 0.000 0.000 0.000
La 0.000 0.000 4.571
Si 2.100 2.100 1.300
Si 2.100 2.100 7.841
Ir 0.000 2.100 2.418
Ir 0.000 2.100 6.724
Ir 2.100 0.000 2.418
Ir 2.100 0.000 6.724
Ir 2.100 2.100 4.571

---

| no. | E_tot (eV per atom) |
| --- | --- |
| 1 | -7.000 |
| 2 | -8.031 |
| 3 | -7.746 |
| 4 | -6.075 |
| 5 | -7.735 |
| 6 | -7.932 |